No. 1
This record from Alexandria describes crystalline TcAgW4 at its relaxed geometry. The functional is PBE.

extended XYZ file:
```
6
Lattice="0.000 3.707 3.707 3.707 0.000 3.707 3.707 3.707 0.000" Properties=species:S:1:pos:R:3 pbc="T T T"
Tc 0.000 0.000 0.000
Ag 5.561 5.561 5.561
W 2.787 4.628 4.628
W 4.628 4.628 2.787
W 4.628 2.787 4.628
W 2.787 2.787 2.787
```

volume = 102 Å³ per cell
E = -61.7 eV/cell
M_tot = 0.0 μB/cell

---

No. 2
This record from Alexandria describes crystalline TcAgW2 at its relaxed geometry. The functional is PBE.

extended XYZ file:
```
4
Lattice="-2.018 -0.584 -1.897 2.385 -2.751 -1.690 -2.111 -3.959 3.466" Properties=species:S:1:pos:R:3 pbc="T T T"
Ag -0.344 -2.657 -0.927
Tc -1.400 -4.637 0.806
W -2.062 -3.867 3.385
W -1.105 -2.072 1.814
```

volume = 64 Å³ per cell
E = -37.3 eV/cell
M_tot = 0.0 μB/cell

---

No. 3
This record from Alexandria describes crystalline TcAgW2 at its relaxed geometry. The functional is PBE.

extended XYZ file:
```
4
Lattice="-0.086 3.328 3.024 -3.789 0.896 2.251 -0.289 -0.953 4.386" Properties=species:S:1:pos:R:3 pbc="T T T"
Ag -2.082 1.635 4.830
Tc -1.041 0.818 2.415
W 0.000 0.000 0.000
W -3.123 2.453 7.246
```

volume = 64 Å³ per cell
E = -36.7 eV/cell
M_tot = 0.0 μB/cell

---

No. 4
This record from Alexandria describes crystalline Tc3AgW at its relaxed geometry. The functional is PBE.

extended XYZ file:
```
5
Lattice="4.719 0.000 0.000 0.000 4.719 0.000 0.000 0.000 4.719" Properties=species:S:1:pos:R:3 pbc="T T T"
Ag 2.359 2.359 2.359
W 0.000 0.000 0.000
Tc 0.000 2.359 0.000
Tc 0.000 0.000 2.359
Tc 2.359 0.000 0.000
```

volume = 105 Å³ per cell
E = -38.2 eV/cell
M_tot = 2.6 μB/cell

---

No. 5
This record from Alexandria describes crystalline TcAgW2 at its relaxed geometry. The functional is PBE.

extended XYZ file:
```
4
Lattice="-2.948 1.054 -1.204 0.805 -1.205 -3.025 -2.395 -5.103 1.396" Properties=species:S:1:pos:R:3 pbc="T T T"
Ag -1.670 -1.351 -1.766
Tc -2.868 -3.903 -1.068
W -2.329 -4.962 1.357
W -1.264 -2.693 0.736
```

volume = 65 Å³ per cell
E = -36.8 eV/cell
M_tot = 0.0 μB/cell

---

No. 6
This record from Alexandria describes crystalline TcAgW2 at its relaxed geometry. The functional is PBE.

extended XYZ file:
```
4
Lattice="-2.991 1.648 1.994 1.473 -1.421 3.383 2.171 3.371 0.471" Properties=species:S:1:pos:R:3 pbc="T T T"
Ag -0.410 2.509 1.232
Tc 1.822 0.975 1.927
W 0.000 0.000 0.000
W -0.759 0.114 2.689
```

volume = 63 Å³ per cell
E = -37.3 eV/cell
M_tot = 0.0 μB/cell

---

No. 7
This record from Alexandria describes crystalline TcAg2W2 at its relaxed geometry. The functional is PBE.

extended XYZ file:
```
10
Lattice="-3.113 -0.208 5.527 -3.215 -5.092 -2.003 3.219 -2.705 1.711" Properties=species:S:1:pos:R:3 pbc="T T T"
Ag -1.040 -4.771 0.434
Ag -3.146 -5.745 2.855
Ag -2.070 -3.235 4.801
Ag 0.036 -2.261 2.380
W -3.898 -4.465 0.274
W -4.735 -3.429 3.486
W -2.430 -0.836 3.250
W -1.594 -1.872 0.038
Tc 0.000 0.000 0.000
Tc -3.164 -2.650 1.762
```

volume = 183 Å³ per cell
E = -74.0 eV/cell
M_tot = 0.0 μB/cell

---

No. 8
This record from Alexandria describes crystalline TcAgW2 at its relaxed geometry. The functional is PBE.

extended XYZ file:
```
4
Lattice="4.263 0.000 0.000 0.000 2.737 -0.014 0.000 1.958 5.495" Properties=species:S:1:pos:R:3 pbc="T T T"
Ag 2.132 1.174 1.370
Tc 2.132 3.521 4.110
W 0.000 4.581 5.389
W 0.000 2.462 2.831
```

volume = 64 Å³ per cell
E = -37.3 eV/cell
M_tot = 0.0 μB/cell